No. 1
First-principles (PBE) data for a geometry-optimized LiOsRu structure, as listed in Alexandria via LeMat-Bulk.

Lattice parameters (Å, degrees): 4.133 4.133 2.657 90.00 90.00 120.00
Fractional coordinates of all 3 atoms:
Os1 0.667 0.333 0.323
Li1 0.000 0.000 0.982
Ru1 0.333 0.667 0.694

excess energy over the best structure of this formula in the dataset: 47 meV per atom
magnetization: 0.0 μB/cell

=====

No. 2
First-principles (PBE) data for a geometry-optimized Nd2TmAl structure, as listed in Alexandria via LeMat-Bulk.

Lattice parameters (Å, degrees): 5.346 7.011 7.011 120.42 90.00 90.00
Fractional coordinates of all 8 atoms:
Nd1 0.000 0.354 0.181
Tm1 0.500 0.648 0.821
Nd2 0.000 0.822 0.178
Tm2 0.500 0.179 0.352
Nd3 0.500 0.176 0.824
Al1 0.500 0.664 0.336
Nd4 0.000 0.819 0.646
Al2 0.000 0.338 0.662

excess energy over the best structure of this formula in the dataset: 0 meV per atom
magnetization: 0.0 μB/cell